Material: Cs3InSn2Cl9
Method: DFT, PBE
State: optimized geometry

Structure (POSCAR):
```
Cs3InSn2Cl9
1.0
-2.4034 6.3374 4.0262
-2.6460 -1.2570 -7.3190
-7.4119 -5.0660 3.5496
Cl Cs In Sn
9 3 1 2
direct
0.3310 0.1655 0.6672
0.1655 0.3310 0.3328
0.8345 0.6690 0.6672
0.6690 0.8345 0.3328
0.0000 0.5000 0.0000
0.5000 0.5000 0.0000
0.5000 0.0000 0.0000
0.1655 0.8345 0.3328
0.8345 0.1655 0.6672
0.6667 0.3333 0.3331
0.0000 0.0000 0.0000
0.3333 0.6667 0.6669
0.0000 0.0000 0.5000
0.6667 0.3333 0.8293
0.3333 0.6667 0.1707
```

Calculated values
As for the space group: P-3m1. The density comes out at 3.42 g/cm3. The calculation puts the energy relative to the elements, uncorrected at -2062 kJ/mol of formula units.